[1]
This record from the Alexandria database describes a geometry-optimized ScBe2Br structure. The functional is PBE.

a = 7.9017 Å, b = 7.9017 Å, c = 7.9017 Å
α = 24.01°, β = 24.01°, γ = 24.01°
Positions (direct):
Sc  0.0000  0.0000  0.0000
Be  0.2440  0.2440  0.2440
Be  0.7560  0.7560  0.7560
Br  0.5000  0.5000  0.5000

Results
Symmetry: R-3m (166)
Relative energy among the computed polymorphs: 2.41 eV per formula unit
E_form (uncorrected): 44.0 kJ/mol of atoms

[2]
This record from the Alexandria database describes a geometry-optimized ScBeBr2 structure. The functional is PBE.

a = 3.7507 Å, b = 4.4047 Å, c = 5.6912 Å
α = 90.00°, β = 90.83°, γ = 90.00°
Positions (direct):
Sc  0.0000  0.0000  0.0000
Be  0.5000  0.0000  0.5000
Br  0.2161  0.5000  0.7526
Br  0.7839  0.5000  0.2474

Results
Symmetry: P2/m (10)
Relative energy among the computed polymorphs: 2.08 eV per formula unit
E_form (uncorrected): -7.8 kJ/mol of atoms

[3]
This record from the Alexandria database describes a geometry-optimized ScBeBr2 structure. The functional is PBE.

a = 5.0569 Å, b = 5.0569 Å, c = 5.0569 Å
α = 125.72°, β = 125.72°, γ = 80.35°
Positions (direct):
Sc  0.0000  0.0000  0.0000
Be  0.5000  0.5000  0.0000
Br  0.2500  0.7500  0.5000
Br  0.7500  0.2500  0.5000

Results
Symmetry: I4/mmm (139)
Relative energy among the computed polymorphs: 2.17 eV per formula unit
E_form (uncorrected): -5.6 kJ/mol of atoms

[4]
This record from the Alexandria database describes a geometry-optimized ScBe2Br structure. The functional is PBE.

a = 3.1614 Å, b = 4.2618 Å, c = 4.9610 Å
α = 90.00°, β = 90.00°, γ = 90.00°
Positions (direct):
Sc  0.0000  0.0000  0.0000
Be  0.0000  0.5000  0.5000
Be  0.5000  0.0000  0.5000
Br  0.5000  0.5000  0.0000

Results
Symmetry: Pmmm (47)
Relative energy among the computed polymorphs: 2.14 eV per formula unit
E_form (uncorrected): 37.5 kJ/mol of atoms

Calculated M_tot (Bohr magnetons per cell), listed in the same order as above: 0.0; 0.3; 0.3; 0.0
Calculated volume (Å³/cell), listed in the same order as above: 71.8; 94.0; 82.2; 66.8